Record 1
This record from the Alexandria database describes a relaxed structure of La2YPd. The functional is PBE-GGA.

Output
ΔE to the lowest computed polymorph in eV per atom: 0.153
ΔH_f (0 K) in eV per formula unit: -1.071
Calculated total energy in eV per atom: -5.646
Space-group type: No. 160

Cell: 9.9316 9.9316 9.9316 Å, 22.77 22.77 22.77°
Last column: nearest neighbours and their distance in Å.
Fractional positions:
La  0.0000  0.0000  0.0000  3 Pd 2.96
La  0.2009  0.2009  0.2009  3 Pd 2.97
Y  0.4331  0.4331  0.4331  6 La 3.67-3.71, 6 Y 3.92
Pd  0.6007  0.6007  0.6007  6 La 2.96-2.97

=====

Record 2
This record from the Alexandria database describes a relaxed structure of LiCeSi2. The functional is PBE-GGA.

Output
ΔE to the lowest computed polymorph in eV per atom: 0.161
Formation energy from raw total energies in eV/atom: -0.393
Calculated total energy in eV per atom: -5.066
Space-group type: No. 38

Cell: 3.8328 5.5587 5.5587 Å, 45.30 90.00 90.00°
Last column: nearest neighbours and their distance in Å.
Fractional positions:
Li  0.0000  0.0000  0.0000  7 Si 2.94-3.07
Ce  0.5000  0.2728  0.2728  7 Si 2.94-3.07
Si  0.0000  0.7010  0.7010  2 Si 2.41
Si  0.5000  0.5590  0.5590  2 Si 2.41

=====

Record 3
This record from the Alexandria database describes a relaxed structure of Li6Mg12Pt. The functional is PBE-GGA.

Output
ΔH_f (0 K) in eV per formula unit: -1.791
Calculated total energy in eV per atom: -2.024
Space-group type: No. 148

Cell: 7.9202 7.9202 7.9202 Å, 109.45 109.45 109.45°
Last column: nearest neighbours and their distance in Å.
Fractional positions:
Li  0.1472  0.6447  0.5015  1 Li 2.66, 3 Mg 2.68-2.97
Li  0.3553  0.4985  0.8528  1 Li 2.66, 3 Mg 2.68-2.97
Li  0.4985  0.8528  0.3553  1 Li 2.66, 3 Mg 2.68-2.97
Li  0.5015  0.1472  0.6447  1 Li 2.66, 3 Mg 2.68-2.97
Li  0.6447  0.5015  0.1472  1 Li 2.66, 3 Mg 2.68-2.97
Li  0.8528  0.3553  0.4985  1 Li 2.66, 3 Mg 2.68-2.97
Mg  0.0875  0.8240  0.2710  2 Li 2.68-2.99, 1 Pt 2.95
Mg  0.1752  0.2666  0.4424  3 Li 2.68-2.99, 1 Pt 2.92
Mg  0.1760  0.7290  0.9125  2 Li 2.68-2.99, 1 Pt 2.95
Mg  0.2666  0.4424  0.1752  3 Li 2.68-2.99, 1 Pt 2.92
Mg  0.2710  0.0875  0.8240  2 Li 2.68-2.99, 1 Pt 2.95
Mg  0.4424  0.1752  0.2666  3 Li 2.68-2.99, 1 Pt 2.92
Mg  0.5576  0.8248  0.7334  3 Li 2.68-2.99, 1 Pt 2.92
Mg  0.7290  0.9125  0.1760  2 Li 2.68-2.99, 1 Pt 2.95
Mg  0.7334  0.5576  0.8248  3 Li 2.68-2.99, 1 Pt 2.92
Mg  0.8240  0.2710  0.0875  2 Li 2.68-2.99, 1 Pt 2.95
Mg  0.8248  0.7334  0.5576  3 Li 2.68-2.99, 1 Pt 2.92
Mg  0.9125  0.1760  0.7290  2 Li 2.68-2.99, 1 Pt 2.95
Pt  0.0000  0.0000  0.0000  12 Mg 2.92-2.95

=====

Record 4
This record from the Alexandria database describes a relaxed structure of Sm6YTm8. The functional is PBE-GGA.

Output
ΔE to the lowest computed polymorph in eV per atom: 0.000
ΔH_f (0 K) in eV per formula unit: 1.924
Calculated total energy in eV per atom: -4.575
Space-group type: No. 148

Cell: 8.6409 8.6409 8.6409 Å, 62.84 62.84 62.84°
Last column: nearest neighbours and their distance in Å.
Fractional positions:
Sm  0.0382  0.6066  0.7244  4 Tm 3.36-3.68, 1 Y 3.43, 4 Sm 3.48-3.77
Sm  0.2756  0.9618  0.3934  4 Tm 3.36-3.68, 1 Y 3.43, 4 Sm 3.48-3.77
Sm  0.3934  0.2756  0.9618  4 Tm 3.36-3.68, 1 Y 3.43, 4 Sm 3.48-3.77
Sm  0.6066  0.7244  0.0382  4 Tm 3.36-3.68, 1 Y 3.43, 4 Sm 3.48-3.77
Sm  0.7244  0.0382  0.6066  4 Tm 3.36-3.68, 1 Y 3.43, 4 Sm 3.48-3.77
Sm  0.9618  0.3934  0.2756  4 Tm 3.36-3.68, 1 Y 3.43, 4 Sm 3.48-3.77
Y  0.5000  0.5000  0.5000  6 Sm 3.43, 6 Tm 3.53
Tm  0.0765  0.0765  0.0765  4 Tm 3.17-3.40, 3 Sm 3.42
Tm  0.2187  0.6109  0.2458  3 Sm 3.36-3.68, 5 Tm 3.40-3.42, 1 Y 3.53
Tm  0.2458  0.2187  0.6109  3 Sm 3.36-3.68, 5 Tm 3.40-3.42, 1 Y 3.53
Tm  0.3891  0.7542  0.7813  3 Sm 3.36-3.68, 5 Tm 3.40-3.42, 1 Y 3.53
Tm  0.6109  0.2458  0.2187  3 Sm 3.36-3.68, 5 Tm 3.40-3.42, 1 Y 3.53
Tm  0.7542  0.7813  0.3891  3 Sm 3.36-3.68, 5 Tm 3.40-3.42, 1 Y 3.53
Tm  0.7813  0.3891  0.7542  3 Sm 3.36-3.68, 5 Tm 3.40-3.42, 1 Y 3.53
Tm  0.9235  0.9235  0.9235  4 Tm 3.17-3.40, 3 Sm 3.42

=====

Record 5
This record from the Alexandria database describes a relaxed structure of Ba2ZrTl. The functional is PBE-GGA.

Output
ΔE to the lowest computed polymorph in eV per atom: 0.209
ΔH_f (0 K) in eV per formula unit: 1.371
Calculated total energy in eV per atom: -3.347
Space-group type: No. 119

Cell: 6.2254 6.2254 6.2254 Å, 129.03 129.03 74.96°
Last column: nearest neighbours and their distance in Å.
Fractional positions:
Ba  0.0000  0.0000  0.0000  4 Tl 3.64, 4 Ba 3.64, 4 Zr 3.79
Ba  0.7500  0.2500  0.5000  4 Zr 3.64, 4 Ba 3.64, 4 Tl 3.79
Zr  0.5000  0.5000  0.0000  8 Ba 3.64-3.79, 4 Tl 3.64
Tl  0.2500  0.7500  0.5000  4 Zr 3.64, 8 Ba 3.64-3.79

=====

Record 6
This record from the Alexandria database describes a relaxed structure of K2RhAuS. The functional is PBE-GGA.

Output
Formation energy from raw total energies in eV/atom: 0.325
Calculated total energy in eV per atom: -3.065
Space-group type: No. 123

Cell: 6.1109 6.1109 4.6425 Å, 90.00 90.00 90.00°
Last column: nearest neighbours and their distance in Å.
Fractional positions:
K  0.0000  0.5000  0.0000  2 S 3.06
K  0.5000  0.0000  0.0000  2 S 3.06
Rh  0.0000  0.0000  0.5000  8 K 3.84
Au  0.5000  0.5000  0.5000  2 S 2.32
S  0.5000  0.5000  0.0000  2 Au 2.32

=====

Record 7
This record from the Alexandria database describes a relaxed structure of TbNdSi3. The functional is PBE-GGA.

Output
Formation energy from raw total energies in eV/atom: -0.706
Calculated total energy in eV per atom: -5.840
Space-group type: No. 63

Cell: 12.5437 12.5437 3.9779 Å, 90.00 90.00 160.40°
Last column: nearest neighbours and their distance in Å.
Fractional positions:
Tb  0.2027  0.7973  0.7500  7 Si 2.94-2.98
Tb  0.7973  0.2027  0.2500  7 Si 2.94-2.98
Nd  0.0703  0.9297  0.2500  12 Si 3.12-3.42
Nd  0.9297  0.0703  0.7500  12 Si 3.12-3.42
Si  0.3218  0.6782  0.7500  2 Si 2.45
Si  0.3796  0.6204  0.2500  3 Si 2.36-2.45
Si  0.4749  0.5251  0.2500  3 Si 2.34-2.36
Si  0.5251  0.4749  0.7500  3 Si 2.34-2.36
Si  0.6204  0.3796  0.7500  3 Si 2.36-2.45
Si  0.6782  0.3218  0.2500  2 Si 2.45

=====

Record 8
This record from the Alexandria database describes a relaxed structure of CsMnCo2I8. The functional is PBE-GGA.

Output
Formation energy from raw total energies in eV/atom: -0.346
Calculated total energy in eV per atom: -3.399
Space-group type: No. 148

Cell: 11.4365 11.4365 11.4365 Å, 36.94 36.94 36.94°
Last column: nearest neighbours and their distance in Å.
Fractional positions:
Cs  0.0000  0.0000  0.0000  12 I 4.20-4.36
Mn  0.5000  0.5000  0.5000  6 I 2.91
Co  0.2443  0.2443  0.2443  4 I 2.52-2.57
Co  0.7557  0.7557  0.7557  4 I 2.52-2.57
I  0.1219  0.4460  0.7714  1 Co 2.57
I  0.2286  0.8781  0.5540  1 Co 2.57
I  0.3232  0.3232  0.3232  1 Co 2.52
I  0.4460  0.7714  0.1219  1 Co 2.57
I  0.5540  0.2286  0.8781  1 Co 2.57
I  0.6768  0.6768  0.6768  1 Co 2.52
I  0.7714  0.1219  0.4460  1 Co 2.57
I  0.8781  0.5540  0.2286  1 Co 2.57

=====

Record 9
This record from the Alexandria database describes a relaxed structure of As2WAu. The functional is PBE-GGA.

Output
ΔE to the lowest computed polymorph in eV per atom: 0.252
ΔH_f (0 K) in eV per formula unit: 1.725
Calculated total energy in eV per atom: -5.951
Space-group type: No. 10

Cell: 4.3565 3.2342 5.2913 Å, 90.00 112.91 90.00°
Last column: nearest neighbours and their distance in Å.
Fractional positions:
As  0.0000  0.0000  0.0000  2 W 2.69, 4 Au 2.71
As  0.0000  0.5000  0.5000  2 Au 2.69, 4 W 2.71
W  0.5000  0.0000  0.5000  6 As 2.69-2.71
Au  0.5000  0.5000  0.0000  6 As 2.69-2.71

=====

Record 10
This record from the Alexandria database describes a relaxed structure of CsRb4Te4. The functional is PBE-GGA.

Output
Formation energy from raw total energies in eV/atom: -0.779
Calculated total energy in eV per atom: -2.700
Space-group type: No. 86

Cell: 11.6432 11.6432 7.2678 Å, 90.00 90.00 90.00°
Last column: nearest neighbours and their distance in Å.
Fractional positions:
Cs  0.2500  0.2500  0.2500  4 Te 3.91
Cs  0.7500  0.7500  0.7500  4 Te 3.91
Rb  0.0890  0.6422  0.1273  5 Te 3.67-3.82
Rb  0.1422  0.9110  0.6273  5 Te 3.67-3.82
Rb  0.3578  0.5890  0.6273  5 Te 3.67-3.82
Rb  0.4110  0.8578  0.1273  5 Te 3.67-3.82
Rb  0.5890  0.1422  0.8727  5 Te 3.67-3.82
Rb  0.6422  0.4110  0.3727  5 Te 3.67-3.82
Rb  0.8578  0.0890  0.3727  5 Te 3.67-3.82
Rb  0.9110  0.3578  0.8727  5 Te 3.67-3.82
Te  0.0390  0.5992  0.6210  1 Te 3.04
Te  0.0992  0.9610  0.1210  1 Te 3.04
Te  0.4008  0.5390  0.1210  1 Te 3.04
Te  0.4610  0.9008  0.6210  1 Te 3.04
Te  0.5390  0.0992  0.3790  1 Te 3.04
Te  0.5992  0.4610  0.8790  1 Te 3.04
Te  0.9008  0.0390  0.8790  1 Te 3.04
Te  0.9610  0.4008  0.3790  1 Te 3.04

=====

Record 11
This record from the Alexandria database describes a relaxed structure of CaHf2B. The functional is PBE-GGA.

Output
ΔH_f (0 K) in eV per formula unit: 2.887
Calculated total energy in eV per atom: -6.425
Space-group type: No. 122

Cell: 6.7844 6.7844 6.7844 Å, 118.98 118.98 91.78°
Last column: nearest neighbours and their distance in Å.
Fractional positions:
Ca  0.0000  0.0000  0.0000  8 Hf 3.59-3.97
Ca  0.7500  0.2500  0.5000  8 Hf 3.59-3.97
Hf  0.2993  0.1250  0.6743  2 B 2.15
Hf  0.3750  0.7007  0.8257  2 B 2.15
Hf  0.4507  0.6250  0.3257  2 B 2.15
Hf  0.8750  0.5493  0.1743  2 B 2.15
B  0.2500  0.7500  0.5000  4 Hf 2.15
B  0.5000  0.5000  0.0000  4 Hf 2.15

=====

Record 12
This record from the Alexandria database describes a relaxed structure of K3Mg2CuF9. The functional is PBE-GGA.

Output
Formation energy from raw total energies in eV/atom: -2.875
Calculated total energy in eV per atom: -4.703
Space-group type: No. 164

Cell: 5.7462 5.7462 7.0445 Å, 90.00 90.00 120.00°
Last column: nearest neighbours and their distance in Å.
Fractional positions:
K  0.0000  0.0000  0.0000  12 F 2.87
K  0.3333  0.6667  0.6620  12 F 2.85-2.90
K  0.6667  0.3333  0.3380  12 F 2.85-2.90
Mg  0.3333  0.6667  0.1621  6 F 2.01-2.02
Mg  0.6667  0.3333  0.8379  6 F 2.01-2.02
Cu  0.0000  0.0000  0.5000  6 F 2.06
F  0.0000  0.5000  0.0000  2 Mg 2.01
F  0.1686  0.3372  0.3308  1 Mg 2.02, 1 Cu 2.06
F  0.1686  0.8314  0.3308  1 Mg 2.02, 1 Cu 2.06
F  0.3372  0.1686  0.6692  1 Mg 2.02, 1 Cu 2.06
F  0.5000  0.0000  0.0000  2 Mg 2.01
F  0.5000  0.5000  0.0000  2 Mg 2.01
F  0.6628  0.8314  0.3308  1 Mg 2.02, 1 Cu 2.06
F  0.8314  0.1686  0.6692  1 Mg 2.02, 1 Cu 2.06
F  0.8314  0.6628  0.6692  1 Mg 2.02, 1 Cu 2.06